# 1
{
  "formula": "Y2AlCl",
  "functional": "GGA-PBE",
  "state": "relaxed",
  "lattice_angstrom": [[3.382, 0.006, 0.000], [-0.005, 3.382, 0.000], [0.000, 0.000, 8.284]],
  "species": ["Y", "Y", "Cl", "Al"],
  "frac_coords": [[0.000, 0.000, 0.018], [0.000, 0.000, 0.482], [0.500, 0.500, 0.750], [0.500, 0.500, 0.250]],
  "relative_energy_ev_per_atom": 0.1139,
  "magnetic_moment_mub_per_atom": 0.000,
  "e_form_raw_mev_per_atom": -755.3
}

***

# 2
{
  "formula": "YAlCl2",
  "functional": "GGA-PBE",
  "state": "relaxed",
  "lattice_angstrom": [[5.720, 0.012, -0.006], [4.618, 3.374, -0.006], [2.340, 0.766, 5.387]],
  "species": ["Y", "Cl", "Cl", "Al"],
  "frac_coords": [[0.470, 0.470, 0.697], [0.030, 0.030, 0.983], [0.813, 0.813, 0.597], [0.186, 0.186, 0.223]],
  "relative_energy_ev_per_atom": 0.0136,
  "magnetic_moment_mub_per_atom": 0.000,
  "e_form_raw_mev_per_atom": -1051.7
}

***

# 3
{
  "formula": "Y2AlCl",
  "functional": "GGA-PBE",
  "state": "relaxed",
  "lattice_angstrom": [[-1.094, 4.274, 4.750], [1.810, -0.694, 6.186], [2.221, -0.457, -6.073]],
  "species": ["Y", "Y", "Cl", "Al"],
  "frac_coords": [[0.000, 0.000, 0.000], [0.250, 0.750, 0.500], [0.750, 0.250, 0.500], [0.500, 0.500, 0.000]],
  "relative_energy_ev_per_atom": 0.4536,
  "magnetic_moment_mub_per_atom": 0.000,
  "e_form_raw_mev_per_atom": -415.6
}

***

# 4
{
  "formula": "Y2AlCl",
  "functional": "GGA-PBE",
  "state": "relaxed",
  "lattice_angstrom": [[5.882, 0.000, 0.000], [0.000, 5.882, 0.000], [2.941, 2.941, 7.451]],
  "species": ["Al", "Al", "Y", "Y", "Y", "Y", "Cl", "Cl"],
  "frac_coords": [[0.250, 0.750, 0.500], [0.500, 0.500, 0.000], [0.107, 0.625, 0.250], [0.375, 0.357, 0.750], [0.875, 0.893, 0.750], [0.643, 0.125, 0.250], [0.000, 0.000, 0.000], [0.750, 0.250, 0.500]],
  "relative_energy_ev_per_atom": 0.5627,
  "magnetic_moment_mub_per_atom": 0.000,
  "e_form_raw_mev_per_atom": -306.5
}